(1)
The following is a DFT calculation (PBE) of a geometry-optimized Tc2PbBr structure.

Lattice parameters (Å, degrees): 3.521 3.752 7.859 80.42 90.00 90.00
Positions (direct):
1 Pb 0.500 0.860 0.824
2 Tc 0.000 0.886 0.127
3 Tc 0.500 0.291 0.139
4 Br 0.000 0.463 0.410

Density ... 7.8 g cm⁻³
Uncorrected energy ... -0.44833 Ry per atom
DOS(E_F) ... 1.0 states/eV/cell

(2)
The following is a DFT calculation (PBE) of a geometry-optimized TcPbBr structure.

Lattice parameters (Å, degrees): 4.733 4.733 3.368 90.00 90.00 120.00
Positions (direct):
1 Pb 0.667 0.333 0.333
2 Tc 0.333 0.667 0.833
3 Br 0.000 0.000 0.833

Density ... 9.8 g cm⁻³
Uncorrected energy ... -0.33842 Ry per atom
DOS(E_F) ... 1.4 states/eV/cell

(3)
The following is a DFT calculation (PBE) of a geometry-optimized Tc2PbBr structure.

Lattice parameters (Å, degrees): 4.690 4.690 3.259 90.00 90.00 90.00
Positions (direct):
1 Pb 0.000 0.500 0.500
2 Tc 0.000 0.000 0.000
3 Tc 0.500 0.500 0.000
4 Br 0.500 0.000 0.500

Density ... 11.2 g cm⁻³
Uncorrected energy ... -0.40603 Ry per atom
DOS(E_F) ... 4.4 states/eV/cell

(4)
The following is a DFT calculation (PBE) of a geometry-optimized Tc2PbBr structure.

Lattice parameters (Å, degrees): 8.684 8.684 8.684 20.90 20.90 20.90
Positions (direct):
1 Pb 0.750 0.750 0.750
2 Tc 0.997 0.997 0.997
3 Tc 0.503 0.503 0.503
4 Br 0.250 0.250 0.250

Density ... 11.0 g cm⁻³
Uncorrected energy ... -0.41662 Ry per atom
DOS(E_F) ... 5.8 states/eV/cell

(5)
The following is a DFT calculation (PBE) of a geometry-optimized Tc2PbBr structure.

Lattice parameters (Å, degrees): 6.418 6.418 6.418 148.83 135.34 55.47
Positions (direct):
1 Pb 0.735 0.235 0.500
2 Tc 0.089 0.089 0.000
3 Tc 0.226 0.726 0.500
4 Br 0.450 0.450 0.000

Density ... 8.4 g cm⁻³
Uncorrected energy ... -0.42992 Ry per atom
DOS(E_F) ... 4.3 states/eV/cell

(6)
The following is a DFT calculation (PBE) of a geometry-optimized Tc2PbBr structure.

Lattice parameters (Å, degrees): 4.673 4.673 4.673 60.00 60.00 60.00
Positions (direct):
1 Pb 0.500 0.500 0.500
2 Tc 0.250 0.250 0.250
3 Tc 0.750 0.750 0.750
4 Br 0.000 0.000 0.000

Density ... 11.1 g cm⁻³
Uncorrected energy ... -0.40258 Ry per atom
DOS(E_F) ... 3.6 states/eV/cell

(7)
The following is a DFT calculation (PBE) of a geometry-optimized Tc2PbBr structure.

Lattice parameters (Å, degrees): 4.628 3.983 5.440 90.74 90.00 90.00
Positions (direct):
1 Pb 0.500 0.750 0.750
2 Tc 0.000 0.062 0.891
3 Tc 0.000 0.438 0.609
4 Br 0.500 0.250 0.250

Density ... 8.0 g cm⁻³
Uncorrected energy ... -0.42059 Ry per atom
DOS(E_F) ... 4.9 states/eV/cell

(8)
The following is a DFT calculation (PBE) of a geometry-optimized TcPb2Br2 structure.

Lattice parameters (Å, degrees): 6.820 6.820 5.826 90.00 90.00 90.00
Positions (direct):
1 Pb 0.198 0.698 0.500
2 Pb 0.698 0.802 0.500
3 Pb 0.802 0.302 0.500
4 Pb 0.302 0.198 0.500
5 Tc 0.000 0.000 0.000
6 Tc 0.500 0.500 0.000
7 Br 0.328 0.828 0.000
8 Br 0.828 0.672 0.000
9 Br 0.672 0.172 0.000
10 Br 0.172 0.328 0.000

Density ... 8.2 g cm⁻³
Uncorrected energy ... -0.28706 Ry per atom
DOS(E_F) ... 3.9 states/eV/cell

(9)
The following is a DFT calculation (PBE) of a geometry-optimized Tc2PbBr structure.

Lattice parameters (Å, degrees): 4.789 4.789 4.789 60.00 60.00 60.00
Positions (direct):
1 Pb 0.250 0.250 0.250
2 Tc 0.000 0.000 0.000
3 Tc 0.750 0.750 0.750
4 Br 0.500 0.500 0.500

Density ... 10.3 g cm⁻³
Uncorrected energy ... -0.39364 Ry per atom
DOS(E_F) ... 4.0 states/eV/cell

(10)
The following is a DFT calculation (PBE) of a geometry-optimized Tc2PbBr structure.

Lattice parameters (Å, degrees): 6.182 6.182 6.771 62.84 62.84 90.00
Positions (direct):
1 Pb 0.000 0.000 0.000
2 Pb 0.750 0.250 0.500
3 Tc 0.580 0.125 0.250
4 Tc 0.170 0.625 0.250
5 Tc 0.375 0.420 0.750
6 Tc 0.875 0.830 0.750
7 Br 0.500 0.500 0.000
8 Br 0.250 0.750 0.500

Density ... 8.1 g cm⁻³
Uncorrected energy ... -0.37948 Ry per atom
DOS(E_F) ... 9.1 states/eV/cell

(11)
The following is a DFT calculation (PBE) of a geometry-optimized TcPb3Br structure.

Lattice parameters (Å, degrees): 5.639 5.639 5.639 90.00 90.00 90.00
Positions (direct):
1 Pb 0.000 0.500 0.000
2 Pb 0.000 0.000 0.500
3 Pb 0.500 0.000 0.000
4 Tc 0.500 0.500 0.500
5 Br 0.000 0.000 0.000

Density ... 7.4 g cm⁻³
Uncorrected energy ... -0.24949 Ry per atom
DOS(E_F) ... 6.3 states/eV/cell

(12)
The following is a DFT calculation (PBE) of a geometry-optimized TcPbBr structure.

Lattice parameters (Å, degrees): 4.742 4.742 4.742 60.00 60.00 60.00
Positions (direct):
1 Pb 0.500 0.500 0.500
2 Tc 0.250 0.250 0.250
3 Br 0.000 0.000 0.000

Density ... 8.5 g cm⁻³
Uncorrected energy ... -0.33010 Ry per atom
DOS(E_F) ... 3.0 states/eV/cell

Question: The highest uncorrected energy belongs to which entry?
Answer: TcPb3Br

Question: DOS(E_F) of number 1 (Tc2PbBr)?
Answer: 1.0 states/eV/cell

Copy entry 8 word for word.
The following is a DFT calculation (PBE) of a geometry-optimized TcPb2Br2 structure.

Lattice parameters (Å, degrees): 6.820 6.820 5.826 90.00 90.00 90.00
Positions (direct):
1 Pb 0.198 0.698 0.500
2 Pb 0.698 0.802 0.500
3 Pb 0.802 0.302 0.500
4 Pb 0.302 0.198 0.500
5 Tc 0.000 0.000 0.000
6 Tc 0.500 0.500 0.000
7 Br 0.328 0.828 0.000
8 Br 0.828 0.672 0.000
9 Br 0.672 0.172 0.000
10 Br 0.172 0.328 0.000

Density ... 8.2 g cm⁻³
Uncorrected energy ... -0.28706 Ry per atom
DOS(E_F) ... 3.9 states/eV/cell

Question: The lowest density belongs to which entry?
Answer: TcPb3Br